DFT (GGA-PBE) results for a relaxed BaNa2BiW crystal.

Cell lengths 5.714, 5.714, 6.412 Å; angles 90.00, 90.00, 90.00 degrees
Space group P4/mmm (No. 123)
Symmetry-distinct sites (fractional):
Ba 0.000 0.000 0.000 (multiplicity 1)
Na 0.000 0.500 0.500 (multiplicity 2)
Bi 0.500 0.500 0.000 (multiplicity 1)
W 0.000 0.000 0.500 (multiplicity 1)

Calculated values
Offset from the most stable computed form = 364.5 meV/atom
ΔE_f = 1169.2 meV/atom
Magnetization = 4.958 μB/cell
E = -3.11 eV per atom
Fermi-level density of states = 2.77 states/eV/f.u.

=====

DFT (GGA-PBE) results for a relaxed BaNa2BiW crystal.

Cell lengths 5.841, 5.841, 5.441 Å; angles 90.00, 90.00, 90.00 degrees
Space group P4/mmm (No. 123)
Symmetry-distinct sites (fractional):
Ba 0.000 0.000 0.000 (multiplicity 1)
Na 0.000 0.500 0.500 (multiplicity 2)
Bi 0.500 0.500 0.500 (multiplicity 1)
W 0.500 0.500 0.000 (multiplicity 1)

Calculated values
Offset from the most stable computed form = 0.0 meV/atom
ΔE_f = 804.7 meV/atom
Magnetization = 3.168 μB/cell
E = -3.47 eV per atom
Fermi-level density of states = 2.87 states/eV/f.u.

=====

Question: What is the formula in the first record?
Answer: BaNa2BiW

=====

Question: Among the records above, which one has the lowest Fermi-level density of states?
Answer: number 1

=====

Question: Among the records above, which one has the lowest Fermi-level density of states?
Answer: number 1

=====

Question: magnetization of number 2 (BaNa2BiW)?
Answer: 3.168 μB/cell